Below is Tc2Hg after structural relaxation, with properties calculated at the PBE-GGA level.

Energy above the lowest structure with this stoichiometry in eV/atom: 0.248
Calculated density in Mg/m³: 12.98
E_form in kJ per mole of atoms: 48.2
Uncorrected energy in Ha/atom: -0.239

```
data_Tc2Hg
_chemical_formula_sum 'Tc8 Hg4'
_symmetry_space_group_name_H-M 'P n m a'
_symmetry_Int_Tables_number 62
_cell_length_a 5.6336
_cell_length_b 4.0762
_cell_length_c 8.8363
_cell_angle_alpha 90.00
_cell_angle_beta 90.00
_cell_angle_gamma 90.00
loop_
_symmetry_equiv_pos_as_xyz
'x,y,z'
'-x,-y,-z'
'-x+1/2,-y,z+1/2'
'x+1/2,y,-z+1/2'
'x+1/2,-y+1/2,-z+1/2'
'-x+1/2,y+1/2,z+1/2'
'-x,y+1/2,-z'
'x,-y+1/2,z'
loop_
_atom_site_label
_atom_site_type_symbol
_atom_site_fract_x
_atom_site_fract_y
_atom_site_fract_z
Tc1 Tc 0.0892 0.2500 0.2116
Tc2 Tc 0.1033 0.2500 0.9192
Hg1 Hg 0.1087 0.2500 0.5928
```



Below is TcHg2 after structural relaxation, with properties calculated at the PBE-GGA level.

Energy above the lowest structure with this stoichiometry in eV/atom: 0.000
Calculated density in Mg/m³: 13.23
E_form in kJ per mole of atoms: 25.9
Uncorrected energy in Ha/atom: -0.125

```
data_TcHg2
_chemical_formula_sum 'Tc2 Hg4'
_symmetry_space_group_name_H-M 'P -3 m 1'
_symmetry_Int_Tables_number 164
_symmetry_space_group_name_Hall '-P 3 2"'
_cell_length_a 2.9615
_cell_length_b 2.9615
_cell_length_c 16.5010
_cell_angle_alpha 90.00
_cell_angle_beta 90.00
_cell_angle_gamma 120.00
loop_
_atom_site_label
_atom_site_type_symbol
_atom_site_fract_x
_atom_site_fract_y
_atom_site_fract_z
Tc1 Tc 0.3333 0.6667 0.4420
Hg1 Hg 0.3333 0.6667 0.1031
Hg2 Hg 0.3333 0.6667 0.7077
```



Below is TcHg5 after structural relaxation, with properties calculated at the PBE-GGA level.

Energy above the lowest structure with this stoichiometry in eV/atom: 0.000
Calculated density in Mg/m³: 12.90
E_form in kJ per mole of atoms: 33.1
Uncorrected energy in Ha/atom: -0.060

```
data_TcHg5
_chemical_formula_sum 'Tc2 Hg10'
_symmetry_space_group_name_H-M 'C 1 m 1'
_symmetry_Int_Tables_number 8
_cell_length_a 14.2081
_cell_length_b 2.9184
_cell_length_c 7.6282
_cell_angle_alpha 90.00
_cell_angle_beta 116.39
_cell_angle_gamma 90.00
loop_
_symmetry_equiv_pos_as_xyz
'x,y,z'
'x,-y,z'
'x+1/2,y+1/2,z'
'x+1/2,-y+1/2,z'
loop_
_atom_site_label
_atom_site_type_symbol
_atom_site_fract_x
_atom_site_fract_y
_atom_site_fract_z
Tc1 Tc 0.0000 0.0000 0.0000
Hg1 Hg 0.0442 0.5000 0.7183
Hg2 Hg 0.0992 0.0000 0.4262
Hg3 Hg 0.1975 0.5000 0.1661
Hg4 Hg 0.3204 0.0000 0.7057
Hg5 Hg 0.3777 0.0000 0.1541
```



Below is Tc2Hg after structural relaxation, with properties calculated at the PBE-GGA level.

Energy above the lowest structure with this stoichiometry in eV/atom: 0.140
Calculated density in Mg/m³: 13.12
E_form in kJ per mole of atoms: 37.8
Uncorrected energy in Ha/atom: -0.243

```
data_Tc2Hg
_chemical_formula_sum 'Tc8 Hg4'
_symmetry_space_group_name_H-M 'C m c m'
_symmetry_Int_Tables_number 63
_symmetry_space_group_name_Hall '-C 2c 2'
_cell_length_a 2.8756
_cell_length_b 15.5704
_cell_length_c 4.4849
_cell_angle_alpha 90.00
_cell_angle_beta 90.00
_cell_angle_gamma 90.00
loop_
_atom_site_label
_atom_site_type_symbol
_atom_site_fract_x
_atom_site_fract_y
_atom_site_fract_z
Tc1 Tc 0.0000 0.1342 0.2500
Tc2 Tc 0.0000 0.2222 0.7500
Hg1 Hg 0.0000 0.4438 0.2500
```



Below is Tc5Hg3 after structural relaxation, with properties calculated at the PBE-GGA level.

Energy above the lowest structure with this stoichiometry in eV/atom: 0.077
Calculated density in Mg/m³: 12.46
E_form in kJ per mole of atoms: 74.2
Uncorrected energy in Ha/atom: -0.214

```
data_Tc5Hg3
_chemical_formula_sum 'Tc10 Hg6'
_symmetry_space_group_name_H-M 'P 63/m c m'
_symmetry_Int_Tables_number 193
_symmetry_space_group_name_Hall '-P 6c 2'
_cell_length_a 8.4937
_cell_length_b 8.4937
_cell_length_c 4.6574
_cell_angle_alpha 90.00
_cell_angle_beta 90.00
_cell_angle_gamma 120.00
loop_
_atom_site_label
_atom_site_type_symbol
_atom_site_fract_x
_atom_site_fract_y
_atom_site_fract_z
Tc1 Tc 0.0000 0.1733 0.2500
Tc2 Tc 0.3333 0.6667 0.0000
Hg1 Hg 0.0000 0.3857 0.7500
```



Below is TcHgTe2 after structural relaxation, with properties calculated at the PBE-GGA level.

Calculated density in Mg/m³: 7.97
Uncorrected energy in Ha/atom: -0.154
Energy relative to the elements, uncorrected in meV/atom: 38.5

```
data_TcHgTe2
_chemical_formula_sum 'Tc3 Hg3 Te6'
_symmetry_space_group_name_H-M 'R -3 m'
_symmetry_Int_Tables_number 166
_symmetry_space_group_name_Hall '-R 3 2"'
_cell_length_a 3.4122
_cell_length_b 3.4122
_cell_length_c 34.3132
_cell_angle_alpha 90.00
_cell_angle_beta 90.00
_cell_angle_gamma 120.00
loop_
_atom_site_label
_atom_site_type_symbol
_atom_site_fract_x
_atom_site_fract_y
_atom_site_fract_z
Tc1 Tc 0.0000 0.0000 0.0000
Hg1 Hg 0.0000 0.0000 0.5000
Te1 Te 0.0000 0.0000 0.3884
```



Number 1: calculated volume 16.91 A^3/atom. Number 2: calculated volume 20.89 A^3/atom. Number 3: calculated volume 23.61 A^3/atom. Number 4: calculated volume 16.73 A^3/atom. Number 5: calculated volume 18.19 A^3/atom. Number 6: calculated volume 28.83 A^3/atom.